A geometry-optimized Sr2YPt9 structure. Source: Alexandria via LeMat-Bulk, functional PBE-GGA.

Structure (CIF):
```
data_Sr2YPt9
_space_group_name_H-M_alt 'R -3 m'
_space_group_IT_number 166
_space_group_name_Hall '-R 3 2"'
_cell_length_a 5.4550
_cell_length_b 5.4550
_cell_length_c 27.0828
_cell_angle_alpha 90.00
_cell_angle_beta 90.00
_cell_angle_gamma 120.00
loop_
_atom_site_label
_atom_site_fract_x
_atom_site_fract_y
_atom_site_fract_z
_atom_site_occupancy
Sr1 0.0000 0.0000 0.1414 1
Y1 0.0000 0.0000 0.0000 1
Pt1 0.0000 0.0000 0.3328 1
Pt2 0.0000 0.0000 0.5000 1
Pt3 0.0017 0.5009 0.9177 1
```

Computed properties:
energy of formation: -0.76 eV per atom
calculated density: 14.417 Mg/m³
magnetic moment: 0.00 μB/f.u.